(1)
Dy2Ir2O5 | PBE | relaxed

It has space group P4/mmm (No. 123), with a = 3.597 Å, b = 3.597 Å, c = 9.236 Å, α = 90.00°, β = 90.00° and γ = 90.00°. The asymmetric unit holds Dy at (0.000, 0.000, 0.235), Ir at (0.500, 0.500, 0.000), Ir at (0.500, 0.500, 0.500), O at (0.000, 0.000, 0.000) and O at (0.000, 0.500, 0.373).

As for the distance to the lowest polymorph of the same formula: 0.284 eV per atom. As for the magnetization: 0.57 μB/cell.

(2)
DyPIrO | PBE | relaxed

It has space group Pmc2_1 (No. 26), with a = 3.386 Å, b = 7.458 Å, c = 5.337 Å, α = 90.00°, β = 90.00° and γ = 90.00°. The asymmetric unit holds Dy at (0.000, 0.211, 0.000), P at (0.000, 0.419, 0.495), Ir at (0.500, 0.218, 0.488) and O at (0.500, 0.053, 0.894).

As for the distance to the lowest polymorph of the same formula: 0.686 eV per atom. As for the magnetization: 0.00 μB/cell.

(3)
DyPIrO | PBE | relaxed

It has space group P4/nmm (No. 129, origin choice 2), with a = 3.949 Å, b = 3.949 Å, c = 8.012 Å, α = 90.00°, β = 90.00° and γ = 90.00°. The asymmetric unit holds Dy at (0.250, 0.250, 0.136), P at (0.250, 0.250, 0.664), Ir at (0.250, 0.750, 0.500) and O at (0.250, 0.750, 0.000).

As for the distance to the lowest polymorph of the same formula: 0.000 eV per atom. As for the magnetization: 0.00 μB/cell.